Compound: FeSbTe2N
Source: Alexandria via LeMat-Bulk
Functional: PBE
Structure: optimized geometry

Properties
Excess energy over the best structure of this formula in the dataset (eV/atom): 0.000

a = 5.3952 Å, b = 5.3952 Å, c = 3.5038 Å
α = 90.00°, β = 90.00°, γ = 90.00°
With the nearest neighbours (Å) after each atom.
Space group P4/mmm (No. 123)
Inequivalent atoms, fractional coordinates:
Fe 0.0000 0.0000 0.0000 x1  2 N 1.75
Sb 0.5000 0.5000 0.5000 x1  8 Te 3.22, 2 Sb 3.50
Te 0.0000 0.5000 0.0000 x2  2 Fe 2.70
N 0.0000 0.0000 0.5000 x1  2 Fe 1.75

Compound: Ba12Na3Au5
Source: Alexandria via LeMat-Bulk
Functional: PBE
Structure: optimized geometry

Properties
VASP energy (eV/atom): -2.40

a = 20.7162 Å, b = 20.7162 Å, c = 20.7162 Å
α = 90.00°, β = 90.00°, γ = 90.00°
With the nearest neighbours (Å) after each atom.
Space group Ia-3d (No. 230)
Inequivalent atoms, fractional coordinates:
Ba 0.0325 0.0578 0.6448 x96  2 Au 3.14-3.30
Na 0.0000 0.2500 0.1250 x24  8 Ba 4.06-4.10
Au 0.0000 0.0000 0.0000 x16  6 Ba 3.30
Au 0.0000 0.2500 0.3750 x24  4 Ba 3.14

Compound: PaSbTeRh
Source: Alexandria via LeMat-Bulk
Functional: PBE
Structure: optimized geometry

Properties
VASP energy (eV/atom): -6.69

a = 4.4641 Å, b = 4.4641 Å, c = 9.1444 Å
α = 90.00°, β = 90.00°, γ = 90.00°
With the nearest neighbours (Å) after each atom.
Space group P4/nmm (No. 129, origin choice 2)
Inequivalent atoms, fractional coordinates:
Pa 0.2500 0.2500 0.2373 x2  4 Rh 3.11, 4 Sb 3.20, 4 Te 3.28
Sb 0.2500 0.2500 0.8222 x2  4 Rh 2.76
Te 0.2500 0.7500 0.5000 x2  4 Te 3.16, 4 Pa 3.28
Rh 0.2500 0.7500 0.0000 x2  4 Sb 2.76

Compound: Ac8GaGe5
Source: Alexandria via LeMat-Bulk
Functional: PBE
Structure: optimized geometry

Properties
VASP energy (eV/atom): -4.85

a = 9.7730 Å, b = 9.7730 Å, c = 9.7909 Å
α = 90.00°, β = 90.00°, γ = 90.00°
With the nearest neighbours (Å) after each atom.
Space group I-4 (No. 82)
Inequivalent atoms, fractional coordinates:
Ac 0.0650 0.1816 0.1905 x8  4 Ge 3.20-3.57, 1 Ga 3.23
Ac 0.0677 0.3138 0.5612 x8  5 Ge 3.19-3.57
Ga 0.0000 0.5000 0.2500 x2  8 Ac 3.23-3.61
Ge 0.0000 0.0000 0.5000 x2  8 Ac 3.19-3.57
Ge 0.1251 0.2513 0.8763 x8  7 Ac 3.20-3.57

Number 1: M_tot 0.00 μB/cell, DOS(E_F) 0.711 states/eV/atom, theoretical density 7.3 g cm⁻³. Number 2: M_tot 0.00 μB/cell, DOS(E_F) 0.943 states/eV/atom, theoretical density 4.0 g cm⁻³. Number 3: M_tot 0.00 μB/cell, DOS(E_F) 1.038 states/eV/atom, theoretical density 10.6 g cm⁻³. Number 4: M_tot 0.00 μB/cell, DOS(E_F) 0.751 states/eV/atom, theoretical density 8.0 g cm⁻³.